[1]
Sr2Ga4PtAu: relaxed, PBE.

abc: 7.3503 6.0727 6.0727
angles: 41.48 90.00 90.00
Positions (direct):
Ga1 0.3140 0.8414 0.8414
Ga2 0.1995 0.1576 0.1576
Ga3 0.8005 0.1576 0.1576
Ga4 0.6860 0.8414 0.8414
Sr1 0.5000 0.5576 0.5576
Sr2 0.0000 0.4417 0.4417
Au1 0.0000 0.7214 0.7214
Pt1 0.5000 0.2812 0.2812

Properties
symmetry = No. 38
volume = 179.5 Å³/f.u.
magnetic moment = 0.00 μB per formula unit
total DFT energy (no corrections) = -3.735 eV per atom

[2]
TmScOs: relaxed, PBE.

abc: 4.5385 4.5385 4.5385
angles: 60.00 60.00 60.00
Positions (direct):
Tm1 0.7500 0.7500 0.7500
Sc1 0.0000 0.0000 0.0000
Os1 0.2500 0.2500 0.2500

Properties
symmetry = No. 216
E_form = 0.50 eV/atom
volume = 66.1 Å³/f.u.
magnetic moment = 0.00 μB per formula unit
total DFT energy (no corrections) = -6.843 eV per atom

Which of these has the highest total DFT energy (no corrections)?
Sr2Ga4PtAu